# Nb2RuAu | Alexandria via LeMat-Bulk | GGA-PBE | optimized geometry
# - energy of formation (eV per atom) = 0.268
# - VASP energy (Ry per atom) = -0.581
# - M_tot (μB/cell) = 0.0
data_Nb2RuAu
_chemical_formula_sum 'Nb8 Ru4 Au4'
_symmetry_space_group_name_H-M 'I -4 2 d'
_symmetry_Int_Tables_number 122
_symmetry_space_group_name_Hall 'I -4 2bw'
_cell_length_a 7.286
_cell_length_b 7.286
_cell_length_c 5.550
_cell_angle_alpha 90.00
_cell_angle_beta 90.00
_cell_angle_gamma 90.00
loop_
_atom_site_label
_atom_site_fract_x
_atom_site_fract_y
_atom_site_fract_z
Nb1 0.218 0.250 0.125
Ru1 0.000 0.000 0.000
Au1 0.000 0.000 0.500


# ZrCuNF2 | Alexandria via LeMat-Bulk | GGA-PBE | optimized geometry
# - ΔE_f (raw) (eV/atom) = -0.771
# - VASP energy (Ry per atom) = -0.420
# - M_tot (μB/cell) = 0.0
# - energy relative to the lowest polymorph listed for this composition (meV/atom) = 629
data_ZrCuNF2
_chemical_formula_sum 'Zr1 Cu1 N1 F2'
_symmetry_space_group_name_H-M 'P 4/m m m'
_symmetry_Int_Tables_number 123
_symmetry_space_group_name_Hall '-P 4 2'
_cell_length_a 3.625
_cell_length_b 3.625
_cell_length_c 4.777
_cell_angle_alpha 90.00
_cell_angle_beta 90.00
_cell_angle_gamma 90.00
loop_
_atom_site_label
_atom_site_fract_x
_atom_site_fract_y
_atom_site_fract_z
Zr1 0.000 0.000 0.000
Cu1 0.500 0.500 0.500
N1 0.500 0.500 0.000
F1 0.000 0.500 0.500


# PmRe2C2 | Alexandria via LeMat-Bulk | GGA-PBE | optimized geometry
# - energy of formation (eV per atom) = 0.002
# - VASP energy (Ry per atom) = -0.707
# - M_tot (μB/cell) = 0.0
data_PmRe2C2
_chemical_formula_sum 'Pm4 Re8 C8'
_symmetry_space_group_name_H-M 'C 1 2/c 1'
_symmetry_Int_Tables_number 15
_symmetry_space_group_name_Hall '-C 2yc'
_cell_length_a 6.801
_cell_length_b 8.964
_cell_length_c 5.695
_cell_angle_alpha 90.00
_cell_angle_beta 123.49
_cell_angle_gamma 90.00
loop_
_atom_site_label
_atom_site_fract_x
_atom_site_fract_y
_atom_site_fract_z
Pm1 0.000 0.126 0.250
Re1 0.149 0.381 0.031
C1 0.000 0.189 0.750
C2 0.000 0.431 0.250